[1]
The following is a DFT calculation (PBE) of crystalline Tl3CdSi at its relaxed geometry.

SG: Pm-3m
ρ: 7.18 g/cm³
spin magnetization: 0.00 μB/f.u.
energy above the lowest structure with this stoichiometry: 376 meV/atom
E_form (uncorrected): 0.76 eV/atom

Lattice parameters (Å, degrees): 5.585 5.585 5.585 90.00 90.00 90.00
Fractional positions:
Cd  0.000  0.000  0.000
Tl  0.000  0.000  0.500
Tl  0.000  0.500  0.000
Tl  0.500  0.000  0.000
Si  0.500  0.500  0.500

[2]
The following is a DFT calculation (PBE) of crystalline Pm3ScHg5 at its relaxed geometry.

SG: P6_3/mcm
ρ: 10.39 g/cm³
spin magnetization: 0.00 μB/f.u.
total DFT energy (no corrections): -25.99 eV/f.u.

Lattice parameters (Å, degrees): 6.466 9.200 9.200 120.00 90.00 90.00
Fractional positions:
Hg  0.750  0.288  0.000
Hg  0.250  0.000  0.712
Hg  0.500  0.333  0.667
Pm  0.750  0.630  0.000
Hg  0.000  0.667  0.333
Hg  0.500  0.667  0.333
Pm  0.250  0.370  0.000
Hg  0.250  0.288  0.288
Hg  0.750  0.712  0.712
Hg  0.250  0.712  0.000
Pm  0.750  0.000  0.630
Pm  0.250  0.000  0.370
Pm  0.250  0.630  0.630
Pm  0.750  0.370  0.370
Hg  0.000  0.333  0.667
Sc  0.500  0.000  0.000
Sc  0.000  0.000  0.000
Hg  0.750  0.000  0.288

[3]
The following is a DFT calculation (PBE) of crystalline Na5CuClO2 at its relaxed geometry.

SG: P4/mmm
ρ: 2.28 g/cm³
spin magnetization: 0.67 μB/f.u.
E_form (uncorrected): -1.11 eV/atom

Lattice parameters (Å, degrees): 4.675 4.675 8.208 90.00 90.00 90.00
Fractional positions:
Na  0.000  0.500  0.219
Cl  0.500  0.500  0.500
Na  0.500  0.000  0.781
O  0.000  0.000  0.774
Na  0.500  0.000  0.219
Na  0.000  0.000  0.500
Na  0.000  0.500  0.781
O  0.000  0.000  0.226
Cu  0.000  0.000  0.000

[4]
The following is a DFT calculation (PBE) of crystalline ScZnTe at its relaxed geometry.

SG: R-3m
ρ: 4.89 g/cm³
spin magnetization: 0.00 μB/f.u.
E_form (uncorrected): -0.76 eV/atom

Lattice parameters (Å, degrees): 4.380 4.380 10.060 77.43 77.43 60.00
Fractional positions:
Sc  0.556  0.556  0.331
Zn  0.829  0.829  0.514
Te  0.729  0.729  0.812
Te  0.271  0.271  0.188
Zn  0.171  0.171  0.486
Sc  0.444  0.444  0.669

[5]
The following is a DFT calculation (PBE) of crystalline TeOF at its relaxed geometry.

SG: P2_1/c
ρ: 4.51 g/cm³
spin magnetization: 0.00 μB/f.u.
energy above the lowest structure with this stoichiometry: 0 meV/atom
E_form (uncorrected): -1.20 eV/atom

Lattice parameters (Å, degrees): 5.236 6.791 6.869 78.40 90.00 90.00
Fractional positions:
O  0.660  0.980  0.655
F  0.302  0.628  0.553
O  0.840  0.980  0.155
O  0.160  0.020  0.845
Te  0.938  0.796  0.875
Te  0.062  0.204  0.125
O  0.340  0.020  0.345
F  0.698  0.372  0.447
Te  0.438  0.204  0.625
F  0.802  0.372  0.947
F  0.198  0.628  0.053
Te  0.562  0.796  0.375

[6]
The following is a DFT calculation (PBE) of crystalline FeAg3H at its relaxed geometry.

SG: Pm-3m
ρ: 5.15 g/cm³
spin magnetization: 3.81 μB/f.u.
energy above the lowest structure with this stoichiometry: 907 meV/atom

Lattice parameters (Å, degrees): 4.967 4.967 4.967 90.00 90.00 90.00
Fractional positions:
H  0.500  0.500  0.500
Ag  0.000  0.500  0.000
Ag  0.000  0.000  0.500
Fe  0.000  0.000  0.000
Ag  0.500  0.000  0.000

[7]
The following is a DFT calculation (PBE) of crystalline Ba2CuGeN at its relaxed geometry.

SG: P4/mmm
ρ: 5.53 g/cm³
spin magnetization: 0.00 μB/f.u.
E_form (uncorrected): -0.28 eV/atom

Lattice parameters (Å, degrees): 5.885 5.885 3.681 90.00 90.00 90.00
Fractional positions:
Cu  0.000  0.000  0.500
Ge  0.500  0.500  0.500
N  0.000  0.000  0.000
Ba  0.500  0.000  0.000
Ba  0.000  0.500  0.000

[8]
The following is a DFT calculation (PBE) of crystalline ScPPdO2 at its relaxed geometry.

SG: P4/mmm
ρ: 4.10 g/cm³
spin magnetization: 1.58 μB/f.u.
energy above the lowest structure with this stoichiometry: 0 meV/atom
E_form (uncorrected): -0.75 eV/atom

Lattice parameters (Å, degrees): 3.885 3.885 5.754 90.00 90.00 90.00
Fractional positions:
P  0.000  0.000  0.500
Pd  0.500  0.500  0.500
Sc  0.000  0.000  0.000
O  0.500  0.000  0.000
O  0.000  0.500  0.000